*a*
First-principles (PBE-GGA) data for an optimized crystal structure of ScAgHPd2, as listed in the Alexandria database.

a b c (Å): 4.0998 4.0998 4.1587
angles (deg): 90.00 90.00 90.00
Space group P4/mmm (No. 123)
One atom of each set of equivalent atoms:
Sc (0.0000, 0.0000, 0.0000)
Ag (0.5000, 0.5000, 0.0000)
H (0.0000, 0.0000, 0.5000)
Pd (0.0000, 0.5000, 0.5000)

## Properties
- Crystal system: tetragonal
- Volume: 13.98 Å³ per atom


*b*
First-principles (PBE-GGA) data for an optimized crystal structure of ScAgHPd2, as listed in the Alexandria database.

a b c (Å): 4.1234 4.1234 4.1535
angles (deg): 90.00 90.00 90.00
Space group P4/mmm (No. 123)
One atom of each set of equivalent atoms:
Sc (0.0000, 0.0000, 0.0000)
Ag (0.5000, 0.5000, 0.0000)
H (0.5000, 0.5000, 0.5000)
Pd (0.0000, 0.5000, 0.5000)

## Properties
- Crystal system: tetragonal
- Volume: 14.12 Å³ per atom


Which structure wins on stability? *a* wins.


*a*
First-principles (PBE-GGA) data for an optimized crystal structure of SrAgHPd2, as listed in the Alexandria database.

a b c (Å): 4.2230 4.2230 4.6291
angles (deg): 90.00 90.00 90.00
Space group P4/mmm (No. 123)
One atom of each set of equivalent atoms:
Sr (0.0000, 0.0000, 0.0000)
Ag (0.5000, 0.5000, 0.0000)
H (0.0000, 0.0000, 0.5000)
Pd (0.0000, 0.5000, 0.5000)

## Properties
- Crystal system: tetragonal
- Volume: 16.51 Å³ per atom


*b*
First-principles (PBE-GGA) data for an optimized crystal structure of SrAgHPd2, as listed in the Alexandria database.

a b c (Å): 4.3443 4.3443 4.3517
angles (deg): 90.00 90.00 90.00
Space group P4/mmm (No. 123)
One atom of each set of equivalent atoms:
Sr (0.0000, 0.0000, 0.0000)
Ag (0.5000, 0.5000, 0.0000)
H (0.5000, 0.5000, 0.5000)
Pd (0.0000, 0.5000, 0.5000)

## Properties
- Crystal system: tetragonal
- Volume: 16.43 Å³ per atom


Which structure wins on stability? *a* wins.


*a*
First-principles (PBE-GGA) data for an optimized crystal structure of Ti2AgHPd, as listed in the Alexandria database.

a b c (Å): 3.9932 3.9932 4.2121
angles (deg): 90.00 90.00 90.00
Space group P4/mmm (No. 123)
One atom of each set of equivalent atoms:
Ti (0.0000, 0.5000, 0.0000)
Ag (0.0000, 0.0000, 0.5000)
H (0.0000, 0.0000, 0.0000)
Pd (0.5000, 0.5000, 0.5000)

## Properties
- Crystal system: tetragonal
- Volume: 13.43 Å³ per atom


*b*
First-principles (PBE-GGA) data for an optimized crystal structure of Ti2AgHPd, as listed in the Alexandria database.

a b c (Å): 4.0318 4.0318 4.1286
angles (deg): 90.00 90.00 90.00
Space group P4/mmm (No. 123)
One atom of each set of equivalent atoms:
Ti (0.0000, 0.5000, 0.0000)
Ag (0.0000, 0.0000, 0.5000)
H (0.5000, 0.5000, 0.0000)
Pd (0.5000, 0.5000, 0.5000)

## Properties
- Crystal system: tetragonal
- Volume: 13.42 Å³ per atom


Which structure wins on stability? *b* wins.


*a*
First-principles (PBE-GGA) data for an optimized crystal structure of VAgHPd2, as listed in the Alexandria database.

a b c (Å): 4.6038 4.6038 5.1277
angles (deg): 90.00 90.00 90.00
Space group P4/mmm (No. 123)
One atom of each set of equivalent atoms:
V (0.0000, 0.0000, 0.0000)
Ag (0.0000, 0.0000, 0.5000)
H (0.5000, 0.5000, 0.5000)
Pd (0.0000, 0.5000, 0.0000)

## Properties
- Crystal system: tetragonal
- Volume: 21.74 Å³ per atom


*b*
First-principles (PBE-GGA) data for an optimized crystal structure of VAgHPd2, as listed in the Alexandria database.

a b c (Å): 4.0281 4.0281 4.0497
angles (deg): 90.00 90.00 90.00
Space group P4/mmm (No. 123)
One atom of each set of equivalent atoms:
V (0.0000, 0.0000, 0.0000)
Ag (0.5000, 0.5000, 0.0000)
H (0.0000, 0.0000, 0.5000)
Pd (0.0000, 0.5000, 0.5000)

## Properties
- Crystal system: tetragonal
- Volume: 13.14 Å³ per atom


Which structure wins on stability? *b* wins.


*a*
First-principles (PBE-GGA) data for an optimized crystal structure of YAgHPd2, as listed in the Alexandria database.

a b c (Å): 4.1800 4.1800 4.4153
angles (deg): 90.00 90.00 90.00
Space group P4/mmm (No. 123)
One atom of each set of equivalent atoms:
Y (0.0000, 0.0000, 0.0000)
Ag (0.5000, 0.5000, 0.0000)
H (0.0000, 0.0000, 0.5000)
Pd (0.0000, 0.5000, 0.5000)

## Properties
- Crystal system: tetragonal
- Volume: 15.43 Å³ per atom


*b*
First-principles (PBE-GGA) data for an optimized crystal structure of YAgHPd2, as listed in the Alexandria database.

a b c (Å): 4.3198 4.3198 4.1614
angles (deg): 90.00 90.00 90.00
Space group P4/mmm (No. 123)
One atom of each set of equivalent atoms:
Y (0.0000, 0.0000, 0.0000)
Ag (0.5000, 0.5000, 0.0000)
H (0.5000, 0.5000, 0.5000)
Pd (0.0000, 0.5000, 0.5000)

## Properties
- Crystal system: tetragonal
- Volume: 15.53 Å³ per atom


Which structure wins on stability? *a* wins.


*a*
First-principles (PBE-GGA) data for an optimized crystal structure of PmAgH2, as listed in the Alexandria database.

a b c (Å): 3.0696 3.0696 6.5931
angles (deg): 90.00 90.00 90.00
Space group P4/mmm (No. 123)
One atom of each set of equivalent atoms:
Pm (0.0000, 0.0000, 0.0000)
Ag (0.0000, 0.0000, 0.5000)
H (0.5000, 0.5000, 0.1551)

## Properties
- Crystal system: tetragonal
- Volume: 15.53 Å³ per atom


*b*
First-principles (PBE-GGA) data for an optimized crystal structure of PmAgH2, as listed in the Alexandria database.

a b c (Å): 3.8666 3.8666 14.5023
angles (deg): 90.00 90.00 120.00
Space group R-3m (No. 166, hexagonal axes)
One atom of each set of equivalent atoms:
Pm (0.0000, 0.0000, 0.0000)
Ag (0.0000, 0.0000, 0.5000)
H (0.0000, 0.0000, 0.3642)

## Properties
- Crystal system: trigonal
- Volume: 15.65 Å³ per atom


Which structure wins on stability? *b* wins.


*a*
First-principles (PBE-GGA) data for an optimized crystal structure of PmAgH, as listed in the Alexandria database.

a b c (Å): 3.7805 3.7805 7.5657
angles (deg): 90.00 90.00 90.00
Space group P4/nmm (No. 129, origin choice 2)
One atom of each set of equivalent atoms:
Pm (0.2500, 0.2500, 0.1756)
Ag (0.2500, 0.2500, 0.5910)
H (0.2500, 0.7500, 0.0000)

## Properties
- Crystal system: tetragonal
- Volume: 18.02 Å³ per atom


*b*
First-principles (PBE-GGA) data for an optimized crystal structure of PmAgH, as listed in the Alexandria database.

a b c (Å): 3.2608 9.3888 7.2358
angles (deg): 90.00 90.00 90.00
Space group Cmcm (No. 63)
One atom of each set of equivalent atoms:
Pm (0.0000, 0.0000, 0.0000)
Ag (0.0000, 0.2697, 0.2500)
H (0.0000, 0.4863, 0.2500)

## Properties
- Crystal system: orthorhombic
- Volume: 18.46 Å³ per atom


Which structure wins on stability? *a* wins.


*a*
First-principles (PBE-GGA) data for an optimized crystal structure of PmAgH, as listed in the Alexandria database.

a b c (Å): 3.9251 3.9251 4.4955
angles (deg): 90.00 90.00 120.00
Space group P-6m2 (No. 187)
One atom of each set of equivalent atoms:
Pm (0.0000, 0.0000, 0.0000)
Ag (0.3333, 0.6667, 0.5000)
H (0.6667, 0.3333, 0.0000)

## Properties
- Crystal system: hexagonal
- Volume: 19.99 Å³ per atom


*b*
First-principles (PBE-GGA) data for an optimized crystal structure of PmAgH, as listed in the Alexandria database.

a b c (Å): 3.3994 3.3994 10.0933
angles (deg): 90.00 90.00 90.00
Space group I4mm (No. 107)
One atom of each set of equivalent atoms:
Pm (0.0000, 0.0000, 0.0000)
Ag (0.0000, 0.0000, 0.2942)
H (0.0000, 0.0000, 0.5183)

## Properties
- Crystal system: tetragonal
- Volume: 19.44 Å³ per atom


Which structure wins on stability? *a* wins.